## Tm3Pt4 (PBE-GGA)

Data for an optimized crystal structure of Tm3Pt4.

total magnetization = 0.000 μB per formula unit
space-group type = No. 148
total energy = -6.6569 eV/atom

```
14
Lattice="6.522 3.765 1.899 -6.522 3.765 1.899 0.000 -7.531 1.899" Properties=species:S:1:pos:R:3 pbc="T T T"
Tm -1.648 -1.912 1.340
Tm -0.832 2.383 1.340
Tm 2.480 -0.471 1.340
Tm -2.480 0.471 4.356
Tm 0.832 -2.383 4.356
Tm 1.648 1.912 4.356
Pt 0.000 0.000 0.000
Pt -3.173 0.586 1.602
Pt 1.079 -3.041 1.602
Pt -2.094 -2.455 4.094
Pt 0.000 0.000 2.848
Pt 2.094 2.455 1.602
Pt -1.079 3.041 4.094
Pt 3.173 -0.586 4.094
```


## MgUAu6 (PBE-GGA)

Data for an optimized crystal structure of MgUAu6.

total magnetization = 2.331 μB per formula unit
space-group type = No. 12
total energy = -4.3447 eV/atom

```
8
Lattice="4.243 -2.361 0.000 4.243 2.361 0.000 -3.411 0.000 7.787" Properties=species:S:1:pos:R:3 pbc="T T T"
Mg 0.000 0.000 0.000
U 2.538 0.000 3.893
Au -0.265 0.000 2.738
Au -0.364 0.000 5.753
Au 2.720 0.000 0.832
Au 2.356 0.000 6.955
Au 5.439 0.000 2.034
Au 5.340 0.000 5.048
```


## ZrGaOs (PBE-GGA)

Data for an optimized crystal structure of ZrGaOs.

total magnetization = 0.000 μB per formula unit
space-group type = No. 8
total energy = -7.9509 eV/atom

```
6
Lattice="5.037 -1.649 0.000 5.037 1.649 0.000 -4.132 0.000 6.304" Properties=species:S:1:pos:R:3 pbc="T T T"
Zr 0.000 0.000 0.000
Zr -1.075 0.000 3.756
Ga 3.225 0.000 6.135
Ga 6.033 0.000 2.280
Os 3.214 0.000 1.580
Os 1.648 0.000 4.172
```


## CoHgPt2 (PBE-GGA)

Data for an optimized crystal structure of CoHgPt2.

total magnetization = 2.250 μB per formula unit
space-group type = No. 216
total energy = -4.6552 eV/atom

```
4
Lattice="0.000 3.178 3.178 3.178 0.000 3.178 3.178 3.178 0.000" Properties=species:S:1:pos:R:3 pbc="T T T"
Co 0.000 0.000 0.000
Hg 1.589 1.589 1.589
Pt 3.178 3.178 3.178
Pt 4.767 4.767 4.767
```


## VZnH (PBE-GGA)

Data for an optimized crystal structure of VZnH.

ΔE to the lowest computed polymorph = 0 meV per atom
total magnetization = 0.000 μB per formula unit
space-group type = No. 8

```
6
Lattice="2.830 -4.448 0.000 2.830 4.448 0.000 -1.403 0.000 2.461" Properties=species:S:1:pos:R:3 pbc="T T T"
V 2.830 2.249 0.000
V 2.830 -2.249 0.000
Zn 1.539 0.000 0.893
Zn 4.178 0.000 0.780
H 2.853 2.885 1.644
H 2.853 -2.885 1.644
```


## TaTlPb (PBE-GGA)

Data for an optimized crystal structure of TaTlPb.

ΔE to the lowest computed polymorph = 40 meV per atom
total magnetization = 0.000 μB per formula unit
space-group type = No. 107

```
3
Lattice="-1.550 1.550 7.828 1.550 -1.550 7.828 1.550 1.550 -7.828" Properties=species:S:1:pos:R:3 pbc="T T T"
Ta 0.000 0.000 0.000
Tl 0.000 0.000 10.090
Pb 0.000 0.000 5.466
```


## Sc2Te2S (PBE-GGA)

Data for an optimized crystal structure of Sc2Te2S.

total magnetization = 0.000 μB per formula unit
space-group type = No. 127
formation energy without anion corrections = -1.099 eV per atom

```
10
Lattice="7.557 0.000 0.000 0.000 7.557 0.000 0.000 0.000 4.064" Properties=species:S:1:pos:R:3 pbc="T T T"
Sc 1.236 2.543 0.000
Sc 2.543 6.322 0.000
Sc 5.014 1.236 0.000
Sc 6.322 5.014 0.000
Te 1.105 4.884 2.032
Te 2.674 1.105 2.032
Te 4.884 6.452 2.032
Te 6.452 2.674 2.032
S 0.000 0.000 0.000
S 3.779 3.779 0.000
```


## NbBiPW2 (PBE-GGA)

Data for an optimized crystal structure of NbBiPW2.

ΔE to the lowest computed polymorph = 0 meV per atom
total magnetization = 0.003 μB per formula unit
space-group type = No. 123

```
5
Lattice="4.459 0.000 0.000 0.000 4.459 0.000 0.000 0.000 5.273" Properties=species:S:1:pos:R:3 pbc="T T T"
Nb 0.000 0.000 0.000
Bi 2.229 2.229 0.000
P 2.229 2.229 2.636
W 0.000 2.229 2.636
W 2.229 0.000 2.636
```


## LiCe3Ni8 (PBE-GGA)

Data for an optimized crystal structure of LiCe3Ni8.

total magnetization = 0.012 μB per formula unit
space-group type = No. 160
total energy = -5.8589 eV/atom

```
12
Lattice="2.491 1.438 8.236 -2.491 1.438 8.236 0.000 -2.876 8.236" Properties=species:S:1:pos:R:3 pbc="T T T"
Li 0.000 0.000 0.000
Ce 0.000 0.000 2.995
Ce 0.000 0.000 12.520
Ce 0.000 0.000 15.707
Ni 0.000 -1.446 5.801
Ni -1.238 -0.715 9.851
Ni -1.252 0.723 5.801
Ni 0.000 0.000 7.832
Ni 1.238 -0.715 9.851
Ni 0.000 1.430 9.851
Ni 1.252 0.723 5.801
Ni 0.000 0.000 20.177
```


## Pm5AlZn2 (PBE-GGA)

Data for an optimized crystal structure of Pm5AlZn2.

total magnetization = 0.000 μB per formula unit
space-group type = No. 140
total energy = -3.9663 eV/atom

```
16
Lattice="-3.811 3.811 7.727 3.811 -3.811 7.727 3.811 3.811 -7.727" Properties=species:S:1:pos:R:3 pbc="T T T"
Pm 0.000 0.000 0.000
Pm 5.096 1.284 -2.332
Pm 1.284 2.527 -2.332
Pm 5.096 1.284 2.332
Pm 1.284 2.527 2.332
Pm 0.000 0.000 7.727
Pm 2.527 1.284 5.395
Pm -1.284 2.527 5.395
Pm 2.527 1.284 10.059
Pm -1.284 2.527 10.059
Al 0.000 0.000 3.864
Al 0.000 0.000 11.591
Zn 2.903 0.908 0.000
Zn 2.903 -0.908 7.727
Zn 0.908 4.719 0.000
Zn 0.908 2.903 7.727
```


## Li4Nb3TcN8 (PBE-GGA)

Data for an optimized crystal structure of Li4Nb3TcN8.

total magnetization = 0.532 μB per formula unit
space-group type = No. 166
formation energy without anion corrections = -0.645 eV per atom

```
16
Lattice="3.060 1.767 5.130 -3.060 1.767 5.130 0.000 -3.533 5.130" Properties=species:S:1:pos:R:3 pbc="T T T"
Li 0.000 0.000 0.000
Li -1.530 -0.883 5.130
Li -1.530 0.883 10.260
Li 0.000 1.767 5.130
Nb -3.060 0.000 7.695
Nb -1.530 0.883 2.565
Nb 1.530 0.883 2.565
Tc 0.000 0.000 7.695
N 0.000 0.000 3.719
N -1.514 -0.874 8.852
N 0.000 -1.749 6.538
N -1.514 0.874 6.538
N 1.514 -0.874 8.852
N 0.000 1.749 8.852
N 1.514 0.874 6.538
N 0.000 0.000 11.671
```


## KGaSi (PBE-GGA)

Data for an optimized crystal structure of KGaSi.

total magnetization = 0.000 μB per formula unit
space-group type = No. 63
formation energy without anion corrections = 0.192 eV per atom

```
6
Lattice="3.113 -7.223 0.000 3.113 7.223 0.000 0.000 0.000 3.710" Properties=species:S:1:pos:R:3 pbc="T T T"
K 3.113 5.583 2.783
K 3.113 -5.583 0.928
Ga 3.113 2.631 0.928
Ga 3.113 -2.631 2.783
Si 3.113 0.755 2.783
Si 3.113 -0.755 0.928
```